(1)
Er8Cu2Te PBE-GGA optimized geometry; final energy = -4.523 eV per atom; symmetry = C2/m (12)
1.0
-3.4587 2.8867 3.1756
-5.2912 -4.5576 -3.5368
3.9848 -3.6000 5.6956
Te Er Cu
1 8 2
Cartesian
-1.7293 1.4434 1.5878 Te
-4.7544 -2.8803 0.3065 Er
0.5447 -1.2844 1.9466 Er
-1.8185 -4.0523 2.2474 Er
-2.9618 -3.7441 5.7248 Er
-2.9466 -1.2187 3.0870 Er
-1.8034 -1.5268 -0.3904 Er
-5.3098 -3.9865 3.3877 Er
-0.0108 -2.3906 5.0278 Er
1.1707 -3.8905 2.8946 Cu
-2.4771 -4.2671 -0.7359 Cu

=====

(2)
Er2CuTe PBE-GGA optimized geometry; final energy = -4.838 eV per atom; symmetry = Cmcm (63)
1.0
-2.5712 -3.5402 -0.0752
1.8144 -1.2468 -3.3386
6.7062 -5.0390 7.9214
Te Cu Er
2 2 4
Cartesian
3.6073 -6.7209 2.0751 Te
2.3421 -3.1050 2.4323 Te
-0.5009 -3.6655 -1.2985 Cu
6.4503 -6.1605 5.8060 Cu
0.2478 -1.5474 0.7126 Er
5.7016 -8.2785 3.7949 Er
1.4365 -5.1064 0.2925 Er
4.5129 -4.7195 4.2150 Er

=====

(3)
ErCu3Te3 PBE-GGA optimized geometry; final energy = -4.289 eV per atom; symmetry = Pnnm (58)
1.0
6.9188 0.0000 0.0000
0.0000 7.6296 0.0000
0.0000 0.0000 12.8380
Er Cu Te
4 12 12
Cartesian
1.7702 5.7223 4.3479 Er
5.2296 1.9073 2.0711 Er
5.2296 1.9073 10.7669 Er
1.7702 5.7223 8.4901 Er
0.9139 0.9002 8.6611 Cu
4.3430 6.6928 6.4190 Cu
0.8836 0.9368 0.0000 Cu
6.1161 4.7502 6.4190 Cu
4.3733 6.7294 10.5958 Cu
6.0858 4.7150 2.2412 Cu
0.9139 0.9002 4.1768 Cu
2.6264 2.9146 8.6602 Cu
2.6264 2.9146 4.1778 Cu
4.3733 6.7294 2.2421 Cu
2.6567 2.8793 0.0000 Cu
6.0858 4.7150 10.5967 Cu
3.5142 0.3868 0.0000 Te
6.8558 3.3066 8.5109 Te
3.3964 4.3230 2.0919 Te
0.1442 7.1212 2.0912 Te
3.4857 4.2009 6.4190 Te
3.6036 0.5084 8.5102 Te
6.8558 3.3066 4.3271 Te
0.0263 3.4287 0.0000 Te
3.3964 4.3230 10.7460 Te
0.0548 7.2428 6.4190 Te
0.1442 7.1212 10.7467 Te
3.6036 0.5084 4.3278 Te

=====

(4)
Er3CuTe6 PBE-GGA optimized geometry; final energy = -4.610 eV per atom; symmetry = Cmc2_1 (36)
1.0
-4.8218 5.5419 0.9948
-5.4647 -3.6111 -6.3699
-3.6192 -4.4280 7.1254
Te Er Cu
12 6 2
Cartesian
-4.5440 -3.4213 6.7195 Te
-3.4729 -1.7148 3.5657 Te
-6.7384 1.4345 -2.1864 Te
-9.2629 -1.5719 1.6917 Te
-6.9912 -4.2813 0.1766 Te
-4.0148 -1.6472 -0.0709 Te
-9.9154 -1.3772 -1.9221 Te
-6.2865 1.0622 1.4442 Te
-7.2808 -0.5118 4.7731 Te
-5.8887 -2.8317 -3.1746 Te
-8.6416 0.0963 -5.1177 Te
-6.6499 -4.5264 3.8300 Te
-6.2058 -1.9708 2.1731 Er
-12.0652 -1.2924 2.9138 Er
-4.0690 1.3564 -0.7037 Er
-9.0029 0.9711 -0.1539 Er
-10.0134 -3.9044 -0.2092 Er
-6.1208 3.9684 2.4194 Er
-4.1526 -4.1013 4.1893 Cu
-7.5987 -0.8721 -2.8834 Cu

=====

(5)
Er2CuTe PBE-GGA optimized geometry; final energy = -4.659 eV per atom; symmetry = P4/mmm (123)
1.0
3.7363 0.0000 0.0000
0.0000 3.7363 0.0000
0.0000 0.0000 6.7769
Cu Er Te
1 2 1
Cartesian
1.8681 1.8681 0.0000 Cu
0.0000 0.0000 5.1853 Er
0.0000 0.0000 1.5915 Er
1.8681 1.8681 3.3884 Te

=====

(6)
Er2CuTe PBE-GGA optimized geometry; final energy = -4.765 eV per atom; symmetry = R3m (160)
1.0
4.1598 0.0000 0.0000
2.0799 3.6025 0.0000
2.0799 1.2008 6.9880
Er Cu Te
2 1 1
Cartesian
2.0799 1.2008 1.4562 Er
2.0799 1.2008 5.5087 Er
4.1598 2.4017 0.0171 Cu
4.1598 2.4017 3.4999 Te

=====

no.,density of states at the Fermi level (states/eV/atom),raw formation energy (eV per atom)
1,1.478,-0.1738
2,0.538,-0.7470
3,0.006,-0.5350
4,0.413,-0.9470
5,1.025,-0.5681
6,0.783,-0.6740